# 1
First-principles (GGA-PBE) data for GdDyThTl after structural relaxation, as listed in the Alexandria database.

Cell lengths 5.4967, 5.4967, 5.4967 Å; angles 60.00, 60.00, 60.00 degrees
Each line ends with the local moment (μB).
Sites, in units of the cell vectors:
Tl (0.7500, 0.7500, 0.7500)  -0.01
Gd (0.0000, 0.0000, 0.0000)  7.19
Th (0.2500, 0.2500, 0.2500)  0.31
Dy (0.5000, 0.5000, 0.5000)  0.11

## Properties
The calculation puts the density of states at the Fermi level at 6.7 states/eV per cell. For the spin magnetization, the calculation gives 8.07 μB/cell. Its formation energy is 21 kJ/mol of formula units.

# 2
First-principles (GGA-PBE) data for GdDyThZr after structural relaxation, as listed in the Alexandria database.

Cell lengths 5.4850, 5.4850, 5.4850 Å; angles 60.00, 60.00, 60.00 degrees
Each line ends with the local moment (μB).
Sites, in units of the cell vectors:
Gd (0.5000, 0.5000, 0.5000)  7.20
Zr (0.0000, 0.0000, 0.0000)  -0.51
Th (0.2500, 0.2500, 0.2500)  -0.03
Dy (0.7500, 0.7500, 0.7500)  -0.11

## Properties
The calculation puts the density of states at the Fermi level at 7.7 states/eV per cell. For the spin magnetization, the calculation gives 6.43 μB/cell. Its formation energy is 67 kJ/mol of formula units.

# 3
First-principles (GGA-PBE) data for Gd2DyTi after structural relaxation, as listed in the Alexandria database.

Cell lengths 3.4072, 3.4072, 9.5342 Å; angles 90.00, 90.00, 90.00 degrees
Each line ends with the local moment (μB).
Sites, in units of the cell vectors:
Gd (0.0000, 0.0000, 0.7789)  7.12
Gd (0.0000, 0.0000, 0.2211)  7.12
Ti (0.5000, 0.5000, 0.0000)  -0.23
Dy (0.5000, 0.5000, 0.5000)  -0.07

## Properties
The calculation puts the density of states at the Fermi level at 6.0 states/eV per cell. For the spin magnetization, the calculation gives 14.23 μB/cell. Its formation energy is 66 kJ/mol of formula units.

# 4
First-principles (GGA-PBE) data for GdDyTm4 after structural relaxation, as listed in the Alexandria database.

Cell lengths 6.5162, 6.5162, 6.5162 Å; angles 60.00, 60.00, 60.00 degrees
Each line ends with the local moment (μB).
Sites, in units of the cell vectors:
Gd (0.2500, 0.2500, 0.2500)  7.49
Tm (0.6253, 0.6253, 0.1241)  0.11
Tm (0.6253, 0.1241, 0.6253)  0.11
Tm (0.6253, 0.6253, 0.6253)  0.11
Tm (0.1241, 0.6253, 0.6253)  0.11
Dy (0.0000, 0.0000, 0.0000)  -0.04

## Properties
The calculation puts the density of states at the Fermi level at 11.8 states/eV per cell. For the spin magnetization, the calculation gives 8.80 μB/cell. Its formation energy is 144 kJ/mol of formula units.